[1]
# CoPbW2

A relaxed CoPbW2 crystal (PBE, Alexandria via LeMat-Bulk).

The space group is I-42d (No. 122) and the conventional cell measures 3.783, 3.783 and 19.925 Å, with angles of 90.00, 90.00 and 90.00 degrees. Symmetry generates all atoms from Co at (0.000, 0.000, 0.000), Pb at (0.000, 0.000, 0.500) and W at (0.238, 0.250, 0.125).

[2]
# CoPbW2

A relaxed CoPbW2 crystal (PBE, Alexandria via LeMat-Bulk).

The space group is C2/m (No. 12) and the conventional cell measures 9.675, 3.128 and 4.545 Å, with angles of 90.00, 105.27 and 90.00 degrees. Symmetry generates all atoms from Co at (0.000, 0.000, 0.000), Pb at (0.000, 0.500, 0.500) and W at (0.239, 0.500, 0.225).

[3]
# CoPbW2

A relaxed CoPbW2 crystal (PBE, Alexandria via LeMat-Bulk).

The space group is P4mm (No. 99) and the conventional cell measures 2.918, 2.918 and 8.026 Å, with angles of 90.00, 90.00 and 90.00 degrees. Symmetry generates all atoms from Co at (0.000, 0.000, 0.000), Pb at (0.500, 0.500, 0.265), W at (0.000, 0.000, 0.566) and W at (0.500, 0.500, 0.816).

[4]
# CoPbW2

A relaxed CoPbW2 crystal (PBE, Alexandria via LeMat-Bulk).

The space group is F-43m (No. 216) and the conventional cell measures 6.434, 6.434 and 6.434 Å, with angles of 90.00, 90.00 and 90.00 degrees. Symmetry generates all atoms from Co at (0.000, 0.000, 0.000), Pb at (0.250, 0.250, 0.250), W at (0.000, 0.000, 0.500) and W at (0.250, 0.250, 0.750).

Going through the records in order, we get total moment values of 2.5, 1.3, 0.0, 4.6 μB/cell.
Going through the records in order, we get ΔH_f (0 K) values of 412, 257, 249, 316 kJ/mol of formula units.